A plane-wave DFT calculation with PBE-GGA was carried out for an optimized crystal structure of PrSi2NiPd.

abc: 5.741 5.741 5.741
angles: 137.52 137.52 61.63
Positions (direct):
Ni 0.000 0.000 0.000
Pd 0.500 0.500 0.000
Pr 0.750 0.250 0.500
Si 0.126 0.626 0.500
Si 0.374 0.874 0.500

Results
volume: 17.06 Å³ per atom
total energy: -6.1147 eV/atom